Record 1
DFT (PBE) results for NaMoAs3 after structural relaxation.

abc: 4.7863 4.7863 4.7863
angles: 90.00 90.00 90.00
Last column: nearest neighbours and their distance in Å.
Atoms (fractional coordinates):
Mo 0.5000 0.5000 0.5000  12 As 3.38
Na 0.0000 0.0000 0.0000  6 As 2.39
As 0.0000 0.0000 0.5000  2 Na 2.39
As 0.0000 0.5000 0.0000  2 Na 2.39
As 0.5000 0.0000 0.0000  2 Na 2.39

Properties
DOS(E_F) = 8.4 states/eV/f.u.
Relative energy among the computed polymorphs = 7.76 eV/f.u.
Raw total energy = -17.75 eV/cell
Energy of formation from the pure elements = 8.35 eV/f.u.

Record 2
DFT (PBE) results for BeInAs2Br after structural relaxation.

abc: 5.2973 5.2973 5.4747
angles: 90.00 90.00 90.00
Last column: nearest neighbours and their distance in Å.
Atoms (fractional coordinates):
As 0.0000 0.5000 0.0000  2 In 2.65
Br 0.0000 0.0000 0.5000  2 In 2.74
Be 0.5000 0.5000 0.5000  4 Br 3.75, 8 As 3.81
In 0.0000 0.0000 0.0000  4 As 2.65, 2 Br 2.74
As 0.5000 0.0000 0.0000  2 In 2.65

Properties
DOS(E_F) = 4.3 states/eV/f.u.
Formation energy from raw total energies = 1.11 eV/atom
Relative energy among the computed polymorphs = 4.45 eV/f.u.
Raw total energy = -11.90 eV/cell

Record 3
DFT (PBE) results for LaMn2Tc after structural relaxation.

abc: 3.1038 3.1038 7.5114
angles: 90.00 90.00 90.00
Last column: nearest neighbours and their distance in Å.
Atoms (fractional coordinates):
La 0.5000 0.5000 0.7500  4 La 3.10, 8 Mn 3.22
Mn 0.0000 0.0000 0.4367  4 Tc 2.60, 1 Mn 2.80
Mn 0.0000 0.0000 0.0633  4 Tc 2.60, 1 Mn 2.80
Tc 0.5000 0.5000 0.2500  8 Mn 2.60

Properties
DOS(E_F) = 4.6 states/eV/f.u.
Relative energy among the computed polymorphs = 0.35 eV/f.u.
Raw total energy = -32.52 eV/cell
Energy of formation from the pure elements = 1.11 eV/f.u.